This record from the Alexandria database describes a relaxed TbHo3Er2As6 crystal. The functional is PBE.

The structure in extended XYZ format:
```
12
Lattice="4.101 0.000 0.000 0.000 8.193 0.295 -2.051 -2.358 8.618" Properties=species:S:1:pos:R:3 pbc="T T T"
As 0.000 5.933 6.003
As 2.051 3.986 3.049
As 0.000 1.850 5.864
As 0.000 2.062 0.081
As 2.051 -0.098 2.910
As 2.051 3.773 8.831
Er 0.000 1.946 2.976
Er 2.051 3.890 5.937
Ho 2.051 -0.204 5.798
Ho 2.051 4.097 0.148
Ho 0.000 6.039 3.115
Tb 2.051 0.000 0.000
```

DFT total energy = -6.143 eV/atom
Formation enthalpy at 0 K = -1.53 eV per atom
V = 292.4 Å³/cell
Space-group type = C2/m (12)
Crystal system = monoclinic
Total moment = 0.0000 μB per atom